## A
# NdIn2Ga (GGA-PBE, optimized geometry)
data_NdIn2Ga
_cell_length_a 3.4301
_cell_length_b 3.4301
_cell_length_c 33.1202
_cell_angle_alpha 90.00
_cell_angle_beta 90.00
_cell_angle_gamma 120.00
_space_group_name_H-M_alt 'R -3 m'
_space_group_IT_number 166
_space_group_name_Hall '-R 3 2"'
loop_
_atom_site_label
_atom_site_type_symbol
_atom_site_fract_x
_atom_site_fract_y
_atom_site_fract_z
_atom_site_occupancy
Nd1 Nd 0.0000 0.0000 0.0000 1
In1 In 0.0000 0.0000 0.0972 1
Ga1 Ga 0.0000 0.0000 0.5000 1
# Crystal system = trigonal
# Fermi-level density of states = 0.689 states/eV per atom

***

## B
# NdIn2Ga (GGA-PBE, optimized geometry)
data_NdIn2Ga
_cell_length_a 4.5443
_cell_length_b 4.5443
_cell_length_c 4.7618
_cell_angle_alpha 90.00
_cell_angle_beta 90.00
_cell_angle_gamma 90.00
_space_group_name_H-M_alt 'P 4/m m m'
_space_group_IT_number 123
_space_group_name_Hall '-P 4 2'
loop_
_atom_site_label
_atom_site_type_symbol
_atom_site_fract_x
_atom_site_fract_y
_atom_site_fract_z
_atom_site_occupancy
Nd1 Nd 0.0000 0.0000 0.0000 1
In1 In 0.0000 0.5000 0.5000 1
Ga1 Ga 0.5000 0.5000 0.0000 1
# Crystal system = tetragonal
# Fermi-level density of states = 0.564 states/eV per atom

***

In terms of stability, B leads; the second structure lies 55.7 kJ/mol of atoms higher.